# 1
## Ba2SrSn2 (PBE)

Data for a relaxed Ba2SrSn2 crystal.

Cell: 5.2568 5.2568 8.4608 Å, 71.90 71.90 90.00°
Sites, in units of the cell vectors:
Ba (0.2500, 0.7500, 0.5000)
Sn (0.5929, 0.5929, 0.8143)
Ba (0.7500, 0.2500, 0.5000)
Sn (0.4071, 0.4071, 0.1857)
Sr (0.0000, 0.0000, 0.0000)

Calculated values
The total energy comes out at -15.4 eV/f.u. The value obtained for the theoretical density is 4.7 g/cm3.


# 2
## BaNa2Hg (PBE)

Data for a relaxed BaNa2Hg crystal.

Cell: 4.2295 4.2295 8.2562 Å, 90.00 90.00 90.00°
Sites, in units of the cell vectors:
Ba (0.5000, 0.5000, 0.5000)
Na (0.0000, 0.0000, 0.8132)
Na (0.0000, 0.0000, 0.1868)
Hg (0.5000, 0.5000, 0.0000)

Calculated values
The total energy comes out at -5.3 eV/f.u. The value obtained for the theoretical density is 4.3 g/cm3.


# 3
## KInTcH6 (PBE)

Data for a relaxed KInTcH6 crystal.

Cell: 4.8820 4.9004 5.4811 Å, 87.93 87.22 59.47°
Sites, in units of the cell vectors:
H (0.4814, 0.0880, 0.7292)
H (0.0816, 0.4825, 0.7292)
H (0.2747, 0.2595, 0.2026)
Tc (0.3365, 0.3346, 0.4877)
K (0.0040, 0.0078, 0.9639)
H (0.4905, 0.4921, 0.2592)
In (0.6991, 0.6982, 0.4465)
H (0.4922, 0.4982, 0.6786)
H (0.1398, 0.1391, 0.5030)

Calculated values
The total energy comes out at -35.0 eV/f.u. The value obtained for the theoretical density is 3.8 g/cm3.


# 4
## Ba2NiHgI (PBE)

Data for a relaxed Ba2NiHgI crystal.

Cell: 6.0104 6.0104 5.0353 Å, 90.00 90.00 90.00°
Sites, in units of the cell vectors:
I (0.5000, 0.5000, 0.5000)
Ni (0.0000, 0.0000, 0.0000)
Hg (0.0000, 0.0000, 0.5000)
Ba (0.5000, 0.0000, 0.0000)
Ba (0.0000, 0.5000, 0.0000)

Calculated values
The total energy comes out at -14.4 eV/f.u. Its formation energy (no corrections) is -0.5807 eV/atom. The value obtained for the theoretical density is 6.0 g/cm3.


# 5
## KRe2Tc (PBE)

Data for a relaxed KRe2Tc crystal.

Cell: 2.7150 2.7150 10.4854 Å, 90.00 90.00 113.81°
Sites, in units of the cell vectors:
Tc (0.5000, 0.5000, 0.2500)
K (0.5000, 0.5000, 0.7500)
Re (0.0000, 0.0000, 0.4608)
Re (0.0000, 0.0000, 0.0392)

Calculated values
The total energy comes out at -33.0 eV/f.u. The value obtained for the theoretical density is 12.0 g/cm3.